Entry 1:
The following is a PBE calculation of a relaxed structure of MgTa3Tc, from the Alexandria database.

```
MgTa3Tc
1.0
4.636 0.000 0.000
0.000 4.636 0.000
0.000 0.000 4.636
Mg Ta Tc
1 3 1
Cartesian
0.000 0.000 0.000 Mg
0.000 0.000 2.318 Ta
0.000 2.318 0.000 Ta
2.318 0.000 0.000 Ta
2.318 2.318 2.318 Tc
```

The formation enthalpy at 0 K is 2.124 eV/atom. For the total magnetization, the calculation gives 0.000 μB per atom. As for the energy above the most stable polymorph in this dataset: 5.42 eV/f.u.

Entry 2:
The following is a PBE calculation of a relaxed structure of MgTa2Tc, from the Alexandria database.

```
MgTa2Tc
1.0
1.525 0.880 9.034
-1.525 0.880 9.034
0.000 -1.761 9.034
Mg Ta Tc
1 2 1
Cartesian
0.000 0.000 0.000 Mg
0.000 0.000 13.879 Ta
0.000 0.000 20.636 Ta
0.000 0.000 6.774 Tc
```

The formation enthalpy at 0 K is 0.188 eV/atom. For the total magnetization, the calculation gives 0.000 μB per atom.

Entry 3:
The following is a PBE calculation of a relaxed structure of MgTa2Tc, from the Alexandria database.

```
MgTa2Tc
1.0
0.000 3.248 3.248
3.248 0.000 3.248
3.248 3.248 0.000
Mg Ta Tc
1 2 1
Cartesian
0.000 0.000 0.000 Mg
3.248 3.248 3.248 Ta
4.872 4.872 4.872 Ta
1.624 1.624 1.624 Tc
```

The formation enthalpy at 0 K is 0.230 eV/atom. For the total magnetization, the calculation gives 0.000 μB per atom.

Entry 4:
The following is a PBE calculation of a relaxed structure of MgTaTc, from the Alexandria database.

```
MgTaTc
1.0
0.000 3.094 3.094
3.094 0.000 3.094
3.094 3.094 0.000
Mg Ta Tc
1 1 1
Cartesian
0.000 0.000 0.000 Mg
3.094 3.094 3.094 Ta
4.641 4.641 4.641 Tc
```

The formation enthalpy at 0 K is 0.516 eV/atom. For the total magnetization, the calculation gives 0.000 μB per atom. As for the energy above the most stable polymorph in this dataset: 1.55 eV/f.u.

Entry 5:
The following is a PBE calculation of a relaxed structure of MgTa2Tc, from the Alexandria database.

```
MgTa2Tc
1.0
-3.750 3.750 2.762
3.750 -3.750 2.762
3.750 3.750 -2.762
Mg Ta Tc
2 4 2
Cartesian
0.000 0.000 0.000 Mg
0.000 3.750 1.381 Mg
1.875 -1.521 2.071 Ta
2.230 1.875 0.690 Ta
1.875 5.271 -0.690 Ta
1.521 1.875 3.452 Ta
3.750 0.000 1.381 Tc
0.000 0.000 2.762 Tc
```

The formation enthalpy at 0 K is 0.585 eV/atom. For the total magnetization, the calculation gives 0.000 μB per atom.

Entry 6:
The following is a PBE calculation of a relaxed structure of MgTa2Tc, from the Alexandria database.

```
MgTa2Tc
1.0
1.622 -2.351 0.000
1.622 2.351 0.000
0.000 0.000 9.325
Mg Ta Tc
1 2 1
Cartesian
0.000 0.000 0.000 Mg
1.622 0.000 2.541 Ta
1.622 0.000 6.784 Ta
0.000 0.000 4.662 Tc
```

The formation enthalpy at 0 K is 0.065 eV/atom. For the total magnetization, the calculation gives 0.000 μB per atom.

Entry 7:
The following is a PBE calculation of a relaxed structure of MgTaTc, from the Alexandria database.

```
MgTaTc
1.0
0.000 2.378 6.875
1.606 0.000 6.875
1.606 2.378 0.000
Mg Ta Tc
1 1 1
Cartesian
0.000 0.000 0.000 Mg
1.606 2.378 9.436 Ta
1.606 2.378 4.589 Tc
```

The formation enthalpy at 0 K is 0.101 eV/atom. For the total magnetization, the calculation gives 0.000 μB per atom. As for the energy above the most stable polymorph in this dataset: 0.30 eV/f.u.

Entry 8:
The following is a PBE calculation of a relaxed structure of MgTa2Tc, from the Alexandria database.

```
MgTa2Tc
1.0
-1.973 1.973 4.422
1.973 -1.973 4.422
1.973 1.973 -4.422
Mg Ta Tc
1 2 1
Cartesian
0.000 0.000 0.000 Mg
1.973 0.000 2.211 Ta
0.000 0.000 4.422 Ta
0.000 1.973 2.211 Tc
```

The formation enthalpy at 0 K is 0.221 eV/atom. For the total magnetization, the calculation gives 0.000 μB per atom.

We obtain theoretical density values of 11.08; 11.05; 11.74; 8.50; 10.35; 11.30; 9.59; 11.68 g/cm3 for the records listed above, in that order.